Entry 1:
{
  "formula": "NbH2Br4",
  "functional": "PBE",
  "state": "relaxed",
  "lattice": [[7.154, 0.000, 0.000], [0.000, 3.525, 0.000], [-0.646, 0.000, 7.174]],
  "species": ["Nb", "H", "H", "Br", "Br", "Br", "Br"],
  "frac_coords": [[0.000, 0.000, 0.000], [0.291, 0.500, 0.291], [0.709, 0.500, 0.709], [0.187, 0.500, 0.814], [0.282, 0.000, 0.282], [0.718, 0.000, 0.718], [0.813, 0.500, 0.186]],
  "m_tot_mub_per_fu": 1.75,
  "sg": "P2/m, No. 10",
  "rho_g_cm3": 3.8,
  "total_energy_ev_per_cell": -25.15
}


Entry 2:
{
  "formula": "NbH6Br12",
  "functional": "PBE",
  "state": "relaxed",
  "lattice": [[8.070, 4.659, 2.898], [-8.070, 4.659, 2.898], [0.000, -9.319, 2.898]],
  "species": ["Nb", "H", "H", "H", "H", "H", "H", "Br", "Br", "Br", "Br", "Br", "Br", "Br", "Br", "Br", "Br", "Br", "Br"],
  "frac_coords": [[0.000, 0.000, 0.000], [0.080, 0.204, 0.733], [0.204, 0.733, 0.080], [0.267, 0.920, 0.796], [0.733, 0.080, 0.204], [0.796, 0.267, 0.920], [0.920, 0.796, 0.267], [0.049, 0.305, 0.157], [0.157, 0.049, 0.305], [0.230, 0.765, 0.648], [0.235, 0.352, 0.770], [0.305, 0.157, 0.049], [0.352, 0.770, 0.235], [0.648, 0.230, 0.765], [0.695, 0.843, 0.951], [0.765, 0.648, 0.230], [0.770, 0.235, 0.352], [0.843, 0.951, 0.695], [0.951, 0.695, 0.843]],
  "m_tot_mub_per_fu": 0.00,
  "sg": "R-3, No. 148",
  "rho_g_cm3": 2.7,
  "total_energy_ev_per_cell": -57.07
}